No. 1
RbBaPt5: optimized geometry, PBE.

Lattice parameters (Å, degrees): 5.4415 9.4141 12.8200 90.00 90.00 90.00
Last column: nearest neighbours and their distance in Å.
Fractional positions:
Pt 0.2500 0.0110 0.1390  4 Pt 2.69-2.75
Pt 0.0009 0.5129 0.1796  7 Pt 2.65-2.87
Pt 0.2500 0.4861 0.9973  6 Pt 2.65-2.73
Pt 0.9991 0.4871 0.8204  7 Pt 2.65-2.87
Pt 0.2500 0.2611 0.2495  6 Pt 2.75-2.87
Pt 0.7500 0.5139 0.0027  6 Pt 2.65-2.73
Pt 0.5009 0.4871 0.8204  7 Pt 2.65-2.87
Pt 0.9991 0.9871 0.6796  7 Pt 2.65-2.87
Pt 0.5009 0.9871 0.6796  7 Pt 2.65-2.87
Pt 0.2500 0.7611 0.2505  6 Pt 2.75-2.87
Pt 0.4991 0.0129 0.3204  7 Pt 2.65-2.87
Pt 0.0009 0.0129 0.3204  7 Pt 2.65-2.87
Pt 0.4991 0.5129 0.1796  7 Pt 2.65-2.87
Pt 0.7500 0.7389 0.7505  6 Pt 2.75-2.87
Pt 0.7500 0.4890 0.6390  4 Pt 2.69-2.75
Pt 0.2500 0.5110 0.3610  4 Pt 2.69-2.75
Pt 0.7500 0.9890 0.8610  4 Pt 2.69-2.75
Pt 0.2500 0.9861 0.5027  6 Pt 2.65-2.73
Pt 0.7500 0.0139 0.4973  6 Pt 2.65-2.73
Pt 0.7500 0.2389 0.7495  6 Pt 2.75-2.87
Ba 0.7500 0.8199 0.1123  9 Pt 3.20-3.50
Ba 0.2500 0.1801 0.8877  9 Pt 3.20-3.50
Ba 0.7500 0.3199 0.3877  9 Pt 3.20-3.50
Ba 0.2500 0.6801 0.6123  9 Pt 3.20-3.50
Rb 0.7500 0.2042 0.0911  7 Pt 3.13-3.44
Rb 0.2500 0.7958 0.9089  7 Pt 3.13-3.44
Rb 0.2500 0.2958 0.5911  7 Pt 3.13-3.44
Rb 0.7500 0.7042 0.4089  7 Pt 3.13-3.44

Properties
ΔH_f (0 K): -0.220 eV per atom
SG: No. 62


No. 2
TaTeIO2: optimized geometry, PBE.

Lattice parameters (Å, degrees): 4.0738 4.0738 6.2800 90.00 90.00 90.00
Last column: nearest neighbours and their distance in Å.
Fractional positions:
I 0.0000 0.0000 0.5000  4 Te 2.88, 2 Ta 3.14
O 0.0000 0.5000 0.0000  2 Ta 2.04
O 0.5000 0.0000 0.0000  2 Ta 2.04
Ta 0.0000 0.0000 0.0000  4 O 2.04
Te 0.5000 0.5000 0.5000  4 I 2.88

Properties
SG: No. 123
offset from the most stable computed form: 0 meV per atom
ΔE_f (raw): -0.930 eV per atom


No. 3
Ca2CoSnAs: optimized geometry, PBE.

Lattice parameters (Å, degrees): 5.9193 5.2419 5.9193 90.00 90.00 90.00
Last column: nearest neighbours and their distance in Å.
Fractional positions:
Co 0.5000 0.5000 0.5000  8 Ca 3.95, 4 As 4.19
As 0.0000 0.5000 0.0000  2 Sn 2.62
Sn 0.0000 0.0000 0.0000  2 As 2.62
Ca 0.0000 0.0000 0.5000  2 Sn 2.96
Ca 0.5000 0.0000 0.0000  2 Sn 2.96

Properties
ΔH_f (0 K): 0.681 eV per atom
SG: No. 123


No. 4
Y4AsSe2S: optimized geometry, PBE.

Lattice parameters (Å, degrees): 4.0444 7.0983 6.9913 70.80 90.00 90.00
Last column: nearest neighbours and their distance in Å.
Fractional positions:
Y 0.0000 0.2708 0.2383  2 S 2.78, 1 As 2.82, 3 Se 2.93-2.97
Y 0.0000 0.7292 0.7617  2 S 2.78, 1 As 2.82, 3 Se 2.93-2.97
Y 0.5000 0.2667 0.7494  1 S 2.78, 2 As 2.82, 3 Se 2.93-2.97
Y 0.5000 0.7333 0.2506  1 S 2.78, 2 As 2.82, 3 Se 2.93-2.97
Se 0.0000 0.0000 0.0000  6 Y 2.93
Se 0.5000 0.0000 0.5000  6 Y 2.97
As 0.0000 0.5000 0.5000  6 Y 2.82
S 0.5000 0.5000 0.0000  6 Y 2.78

Properties
SG: No. 10
ΔE_f (raw): -1.809 eV per atom


No. 5
Re4Tc2Ir3: optimized geometry, PBE.

Lattice parameters (Å, degrees): 4.6781 7.8622 7.8614 72.41 82.38 82.37
Last column: nearest neighbours and their distance in Å.
Fractional positions:
Re 0.2099 0.7141 0.4927  2 Tc 2.51-2.71, 4 Ir 2.58-2.78, 1 Re 2.59
Re 0.5290 0.0385 0.8325  1 Re 2.50, 1 Tc 2.59, 4 Ir 2.67-2.76
Re 0.2902 0.5073 0.2859  2 Tc 2.51-2.71, 4 Ir 2.58-2.78, 1 Re 2.59
Re 0.9710 0.1675 0.9615  1 Re 2.50, 1 Tc 2.59, 4 Ir 2.67-2.76
Re 0.4710 0.9615 0.1675  1 Re 2.50, 1 Tc 2.59, 4 Ir 2.67-2.76
Re 0.7901 0.2859 0.5073  2 Tc 2.51-2.71, 4 Ir 2.58-2.78, 1 Re 2.59
Re 0.7098 0.4927 0.7141  2 Tc 2.51-2.71, 4 Ir 2.58-2.78, 1 Re 2.59
Re 0.0290 0.8325 0.0385  1 Re 2.50, 1 Tc 2.59, 4 Ir 2.67-2.76
Ir 0.9144 0.0045 0.3270  4 Re 2.58-2.76, 4 Tc 2.65-2.77
Ir 0.0856 0.9955 0.6730  4 Re 2.58-2.76, 4 Tc 2.65-2.77
Ir 0.4144 0.3270 0.0045  4 Re 2.58-2.76, 4 Tc 2.65-2.77
Ir 0.7500 0.6542 0.3458  8 Re 2.67-2.78, 2 Tc 2.90, 2 Ir 2.91
Ir 0.5856 0.6730 0.9955  4 Re 2.58-2.76, 4 Tc 2.65-2.77
Ir 0.2500 0.3458 0.6542  8 Re 2.67-2.78, 2 Tc 2.90, 2 Ir 2.91
Tc 0.8734 0.3713 0.1719  3 Re 2.51-2.71, 4 Ir 2.65-2.77
Tc 0.6266 0.8281 0.6287  3 Re 2.51-2.71, 4 Ir 2.65-2.77
Tc 0.1266 0.6287 0.8281  3 Re 2.51-2.71, 4 Ir 2.65-2.77
Tc 0.3734 0.1719 0.3713  3 Re 2.51-2.71, 4 Ir 2.65-2.77

Properties
ΔH_f (0 K): 0.060 eV per atom
SG: No. 15


No. 6
ThBeAlPt3: optimized geometry, PBE.

Lattice parameters (Å, degrees): 5.5522 6.7943 6.8527 119.72 90.00 90.00
Last column: nearest neighbours and their distance in Å.
Fractional positions:
Be 0.7500 0.6114 0.2227  5 Pt 2.24-2.36
Be 0.2500 0.3886 0.7773  5 Pt 2.24-2.36
Pt 0.5000 0.7014 0.0000  2 Be 2.36, 2 Al 2.46
Pt 0.2500 0.2002 0.4003  1 Be 2.24
Pt 0.5000 0.2986 0.0000  2 Be 2.36, 2 Al 2.46
Pt 0.7500 0.7998 0.5997  1 Be 2.24
Pt 0.0000 0.7014 0.0000  2 Be 2.36, 2 Al 2.46
Pt 0.0000 0.2986 0.0000  2 Be 2.36, 2 Al 2.46
Th 0.2500 0.7080 0.4161  6 Pt 2.98-3.15, 2 Be 3.01, 1 Al 3.30
Th 0.7500 0.2920 0.5839  6 Pt 2.98-3.15, 2 Be 3.01, 1 Al 3.30
Al 0.2500 0.9849 0.9698  5 Pt 2.46-2.56
Al 0.7500 0.0151 0.0302  5 Pt 2.46-2.56

Properties
ΔH_f (0 K): -0.837 eV per atom
SG: No. 63


No. 7
Ce2Nd3YAs6: optimized geometry, PBE.

Lattice parameters (Å, degrees): 7.3184 7.3184 7.3285 99.58 99.58 120.00
Last column: nearest neighbours and their distance in Å.
Fractional positions:
Y 0.0000 0.0000 0.0000  6 As 2.95-2.96
Nd 0.1669 0.8331 0.5000  6 As 3.02
Nd 0.5000 0.5000 0.5000  6 As 3.02
Nd 0.8331 0.1669 0.5000  6 As 3.02
As 0.2516 0.2516 0.7567  1 Y 2.96, 2 Ce 2.96, 3 Nd 3.02
As 0.9193 0.5865 0.7578  1 Y 2.95, 2 Ce 2.96, 3 Nd 3.02
As 0.0807 0.4135 0.2422  1 Y 2.95, 2 Ce 2.96, 3 Nd 3.02
As 0.4135 0.0807 0.2422  1 Y 2.95, 2 Ce 2.96, 3 Nd 3.02
As 0.7484 0.7484 0.2433  1 Y 2.96, 2 Ce 2.96, 3 Nd 3.02
As 0.5865 0.9193 0.7578  1 Y 2.95, 2 Ce 2.96, 3 Nd 3.02
Ce 0.6666 0.3334 0.0000  6 As 2.96
Ce 0.3334 0.6666 0.0000  6 As 2.96

Properties
ΔH_f (0 K): -1.496 eV per atom
SG: No. 12


No. 8
Be4TePt: optimized geometry, PBE.

Lattice parameters (Å, degrees): 4.7254 4.7254 4.7254 60.00 60.00 60.00
Last column: nearest neighbours and their distance in Å.
Fractional positions:
Be 0.3763 0.3763 0.8711  6 Be 2.34-2.39
Be 0.3763 0.8711 0.3763  6 Be 2.34-2.39
Be 0.3763 0.3763 0.3763  6 Be 2.34-2.39
Be 0.8711 0.3763 0.3763  6 Be 2.34-2.39
Te 0.0000 0.0000 0.0000  12 Be 2.77, 4 Pt 2.89
Pt 0.7500 0.7500 0.7500  12 Be 2.77, 4 Te 2.89

Properties
SG: No. 216
ΔE_f (raw): 0.239 eV per atom


No. 9
ZrCdAg: optimized geometry, PBE.

Lattice parameters (Å, degrees): 3.0949 3.0949 12.9731 90.00 90.00 90.00
Last column: nearest neighbours and their distance in Å.
Fractional positions:
Zr 0.0000 0.5000 0.5876  8 Zr 3.09-3.15, 4 Cd 3.23
Zr 0.5000 0.0000 0.4124  8 Zr 3.09-3.15, 4 Cd 3.23
Ag 0.5000 0.0000 0.0744  8 Ag 2.92-3.09, 4 Cd 2.97
Ag 0.0000 0.5000 0.9256  8 Ag 2.92-3.09, 4 Cd 2.97
Cd 0.0000 0.5000 0.2296  4 Ag 2.97, 4 Cd 3.09, 4 Zr 3.23
Cd 0.5000 0.0000 0.7704  4 Ag 2.97, 4 Cd 3.09, 4 Zr 3.23

Properties
ΔH_f (0 K): -0.087 eV per atom
SG: No. 129


No. 10
Tb2Ho2AlGa4: optimized geometry, PBE.

Lattice parameters (Å, degrees): 6.6211 6.6211 6.6211 96.12 116.53 116.53
Last column: nearest neighbours and their distance in Å.
Fractional positions:
Tb 0.0000 0.3119 0.3119  1 Al 2.76, 4 Ga 2.97
Tb 0.0000 0.6881 0.6881  1 Al 2.76, 4 Ga 2.97
Ho 0.5000 0.7500 0.2500  8 Ga 3.31, 4 Tb 3.53
Ho 0.5000 0.2500 0.7500  8 Ga 3.31, 4 Tb 3.53
Ga 0.5006 0.2503 0.2503  1 Al 2.47
Ga 0.4994 0.7497 0.7497  1 Al 2.47
Ga 0.0000 0.7497 0.2503  1 Al 2.47
Ga 0.0000 0.2503 0.7497  1 Al 2.47
Al 0.0000 0.0000 0.0000  4 Ga 2.47, 2 Tb 2.76

Properties
ΔH_f (0 K): -0.237 eV per atom
SG: No. 139


No. 11
BaBiPbO6: optimized geometry, PBE.

Lattice parameters (Å, degrees): 5.7656 5.7656 11.5610 90.00 90.00 120.00
Last column: nearest neighbours and their distance in Å.
Fractional positions:
O 0.0077 0.3810 0.6453  1 Bi 2.15, 1 Pb 2.21
O 0.3734 0.9923 0.6453  1 Bi 2.15, 1 Pb 2.21
O 0.0077 0.6266 0.8547  1 Bi 2.15, 1 Pb 2.21
O 0.6190 0.6266 0.6453  1 Bi 2.15, 1 Pb 2.21
O 0.6266 0.6190 0.1453  1 Bi 2.15, 1 Pb 2.21
O 0.6190 0.9923 0.8547  1 Bi 2.15, 1 Pb 2.21
O 0.9923 0.3734 0.1453  1 Bi 2.15, 1 Pb 2.21
O 0.9923 0.6190 0.3547  1 Bi 2.15, 1 Pb 2.21
O 0.3734 0.3810 0.8547  1 Bi 2.15, 1 Pb 2.21
O 0.3810 0.0077 0.1453  1 Bi 2.15, 1 Pb 2.21
O 0.6266 0.0077 0.3547  1 Bi 2.15, 1 Pb 2.21
O 0.3810 0.3734 0.3547  1 Bi 2.15, 1 Pb 2.21
Pb 0.3333 0.6667 0.2500  6 O 2.21
Pb 0.6667 0.3333 0.7500  6 O 2.21
Ba 0.0000 0.0000 0.0000  6 O 2.75
Ba 0.0000 0.0000 0.5000  6 O 2.75
Bi 0.6667 0.3333 0.2500  6 O 2.15
Bi 0.3333 0.6667 0.7500  6 O 2.15

Properties
SG: No. 163
ΔE_f (raw): -1.174 eV per atom


No. 12
PuPaAs2O8: optimized geometry, PBE.

Lattice parameters (Å, degrees): 6.1343 6.1343 6.1343 107.80 107.80 112.87
Last column: nearest neighbours and their distance in Å.
Fractional positions:
O 0.5013 0.7028 0.7984  1 As 2.00, 1 Pa 2.18
O 0.7567 0.0792 0.6775  1 As 1.73
O 0.9208 0.2433 0.3225  1 As 1.73
O 0.2972 0.4987 0.2016  1 As 2.00, 1 Pa 2.18
O 0.4016 0.0792 0.3225  1 As 1.73
O 0.9044 0.7028 0.2016  1 As 2.00, 1 Pa 2.18
O 0.2972 0.0956 0.7984  1 As 2.00, 1 Pa 2.18
O 0.9208 0.5984 0.6775  1 As 1.73
As 0.5000 0.5000 0.0000  4 O 2.00
As 0.7500 0.2500 0.5000  4 O 1.73
Pu 0.0000 0.0000 0.0000  8 O 2.39-2.49
Pa 0.2500 0.7500 0.5000  4 O 2.18

Properties
SG: No. 119
ΔE_f (raw): -2.193 eV per atom